Below is Sb3OsO at its PBEsol-relaxed geometry, with properties calculated at the meta-GGA SCAN level.

E_form (uncorrected): 954 meV/atom

Lattice parameters (Å, degrees): 5.0408 5.0408 5.0408 90.00 90.00 90.00
Space group Pm-3m (No. 221)
Unique sites:
Sb1 0.0000 0.0000 0.5000 [3 per cell]
Os1 0.0000 0.0000 0.0000 [1 per cell]
O1 0.5000 0.5000 0.5000 [1 per cell]

Below is ReHgW2 at its PBEsol-relaxed geometry, with properties calculated at the meta-GGA SCAN level.

Energy relative to the elements: 506 meV per atom

Lattice parameters (Å, degrees): 2.8639 3.9845 5.6987 90.00 90.00 90.00
Space group Pmmm (No. 47)
Unique sites:
Re1 0.0000 0.0000 0.0000 [1 per cell]
Hg1 0.0000 0.0000 0.5000 [1 per cell]
W1 0.5000 0.5000 0.2218 [2 per cell]

Below is TaBe3 at its PBEsol-relaxed geometry, with properties calculated at the meta-GGA SCAN level.

Energy relative to the elements: -224 meV per atom

Lattice parameters (Å, degrees): 4.5278 4.5278 20.7788 90.00 90.00 120.00
Space group R-3m (No. 166, hexagonal axes)
Unique sites:
Ta1 0.0000 0.0000 0.0000 [3 per cell]
Ta2 0.0000 0.0000 0.1402 [6 per cell]
Be1 0.0000 0.0000 0.3346 [6 per cell]
Be2 0.0000 0.0000 0.5000 [3 per cell]
Be3 0.0065 0.5033 0.9188 [18 per cell]

Below is LiCaRu2 at its PBEsol-relaxed geometry, with properties calculated at the meta-GGA SCAN level.

Energy relative to the elements: 363 meV per atom
Energy above the lowest structure with this stoichiometry: 115 meV per atom

Lattice parameters (Å, degrees): 2.9089 4.5116 9.3543 90.00 90.00 90.00
Space group Immm (No. 71)
Unique sites:
Li1 0.0000 0.0000 0.0000 [2 per cell]
Ca1 0.0000 0.0000 0.5000 [2 per cell]
Ru1 0.0000 0.5000 0.2633 [4 per cell]

Below is MgBeIn2 at its PBEsol-relaxed geometry, with properties calculated at the meta-GGA SCAN level.

Energy relative to the elements: 230 meV per atom
Energy above the lowest structure with this stoichiometry: 0 meV per atom

Lattice parameters (Å, degrees): 4.2149 4.2149 8.7962 90.00 90.00 90.00
Space group I-4m2 (No. 119)
Unique sites:
Mg1 0.0000 0.0000 0.0000 [2 per cell]
Be1 0.0000 0.5000 0.2500 [2 per cell]
In1 0.0000 0.0000 0.5000 [2 per cell]
In2 0.0000 0.5000 0.7500 [2 per cell]

Below is Re2SiPb at its PBEsol-relaxed geometry, with properties calculated at the meta-GGA SCAN level.

E_form (uncorrected): 636 meV/atom
Energy above the lowest structure with this stoichiometry: 0 meV per atom

Lattice parameters (Å, degrees): 8.5573 3.0285 5.5965 90.00 101.03 90.00
Space group Cm (No. 8)
Unique sites:
Re1 0.0000 0.0000 0.0000 [2 per cell]
Re2 0.2277 0.5000 0.2319 [2 per cell]
Si1 0.2682 0.0000 0.8993 [2 per cell]
Pb1 0.4902 0.0000 0.5245 [2 per cell]

Below is YWSe2 at its PBEsol-relaxed geometry, with properties calculated at the meta-GGA SCAN level.

E_form (uncorrected): 46 meV/atom
Energy above the lowest structure with this stoichiometry: 512 meV per atom

Lattice parameters (Å, degrees): 3.4463 3.4463 26.0175 90.00 90.00 120.00
Space group R-3m (No. 166, hexagonal axes)
Unique sites:
Y1 0.0000 0.0000 0.0000 [3 per cell]
W1 0.0000 0.0000 0.5000 [3 per cell]
Se1 0.0000 0.0000 0.4077 [6 per cell]

Below is YLu3 at its PBEsol-relaxed geometry, with properties calculated at the meta-GGA SCAN level.

Energy relative to the elements: 18 meV per atom

Lattice parameters (Å, degrees): 6.9888 6.9888 5.4204 90.00 90.00 120.00
Space group P6_3/mmc (No. 194)
Unique sites:
Y1 0.3333 0.6667 0.2500 [2 per cell]
Lu1 0.1653 0.3306 0.7500 [6 per cell]

Below is CrPbSe at its PBEsol-relaxed geometry, with properties calculated at the meta-GGA SCAN level.

E_form (uncorrected): -188 meV/atom

Lattice parameters (Å, degrees): 3.3950 3.3950 6.5982 90.00 90.00 120.00
Space group P3m1 (No. 156)
Unique sites:
Cr1 0.0000 0.0000 0.0000 [1 per cell]
Pb1 0.6667 0.3333 0.6492 [1 per cell]
Se1 0.3333 0.6667 0.2033 [1 per cell]

Below is La2ZrInFe at its PBEsol-relaxed geometry, with properties calculated at the meta-GGA SCAN level.

Energy relative to the elements: -71 meV per atom

Lattice parameters (Å, degrees): 5.0071 5.0071 5.0565 90.00 90.00 90.00
Space group P4/mmm (No. 123)
Unique sites:
La1 0.0000 0.5000 0.0000 [2 per cell]
Zr1 0.0000 0.0000 0.5000 [1 per cell]
In1 0.5000 0.5000 0.5000 [1 per cell]
Fe1 0.0000 0.0000 0.0000 [1 per cell]

Below is Ho11Sn10 at its PBEsol-relaxed geometry, with properties calculated at the meta-GGA SCAN level.

Energy relative to the elements: -830 meV per atom

Lattice parameters (Å, degrees): 11.4191 11.4191 16.6789 90.00 90.00 90.00
Space group I4/mmm (No. 139)
Unique sites:
Ho1 0.0000 0.0000 0.1680 [4 per cell]
Ho2 0.0000 0.2512 0.3116 [16 per cell]
Ho3 0.0000 0.3317 0.1022 [16 per cell]
Ho4 0.1735 0.1735 0.5000 [8 per cell]
Sn1 0.0000 0.0000 0.3884 [4 per cell]
Sn2 0.0000 0.3556 0.5000 [8 per cell]
Sn3 0.0000 0.5000 0.2500 [4 per cell]
Sn4 0.1301 0.1301 0.0000 [8 per cell]
Sn5 0.2057 0.2057 0.1755 [16 per cell]

Below is Zr2TaAu at its PBEsol-relaxed geometry, with properties calculated at the meta-GGA SCAN level.

Energy relative to the elements: -354 meV per atom
Energy above the lowest structure with this stoichiometry: 0 meV per atom

Lattice parameters (Å, degrees): 3.2171 3.5458 6.8057 90.00 90.00 90.00
Space group Pmmm (No. 47)
Unique sites:
Zr1 0.0000 0.0000 0.2472 [2 per cell]
Ta1 0.5000 0.5000 0.0000 [1 per cell]
Au1 0.5000 0.5000 0.5000 [1 per cell]